one | A plane-wave DFT calculation with PBE was carried out for a relaxed structure of LaYRe.

POSCAR file:
```
LaYRe
1.0
4.819 0.000 0.000
-2.409 4.173 0.000
0.000 0.000 3.618
La Y Re
1 1 1
Direct
0.000 0.000 0.000
0.667 0.333 0.540
0.333 0.667 0.216
```

Magnetic moment = 0.00 μB/atom
Symmetry = No. 156



two | A plane-wave DFT calculation with PBE was carried out for a relaxed structure of LaYRe.

POSCAR file:
```
LaYRe
1.0
6.908 0.000 0.000
0.000 6.908 0.000
0.000 0.000 6.908
La Y Re
4 4 4
Direct
0.000 0.000 0.000
0.000 0.500 0.500
0.500 0.000 0.500
0.500 0.500 0.000
0.000 0.000 0.500
0.000 0.500 0.000
0.500 0.000 0.000
0.500 0.500 0.500
0.250 0.250 0.750
0.250 0.750 0.250
0.750 0.250 0.250
0.750 0.750 0.750
```

Magnetic moment = 0.00 μB/atom
Symmetry = No. 216



Computed relative energies in units of meV/atom: one 67; two 0



one | A plane-wave DFT calculation with PBE was carried out for a relaxed structure of La2Zn2Re.

POSCAR file:
```
La2Zn2Re
1.0
3.558 0.000 0.000
0.000 3.558 0.000
0.000 0.000 19.208
La Zn Re
4 4 2
Direct
0.000 0.000 0.091
0.000 0.000 0.909
0.500 0.500 0.409
0.500 0.500 0.591
0.000 0.500 0.250
0.000 0.500 0.750
0.500 0.000 0.250
0.500 0.000 0.750
0.000 0.000 0.500
0.500 0.500 0.000
```

Magnetic moment = 0.00 μB/atom
Symmetry = No. 139



two | A plane-wave DFT calculation with PBE was carried out for a relaxed structure of La2Zn2Re.

POSCAR file:
```
La2Zn2Re
1.0
8.586 0.000 0.000
0.000 8.586 0.000
0.000 0.000 3.211
La Zn Re
4 4 2
Direct
0.195 0.305 0.000
0.305 0.805 0.000
0.695 0.195 0.000
0.805 0.695 0.000
0.103 0.603 0.500
0.397 0.103 0.500
0.603 0.897 0.500
0.897 0.397 0.500
0.000 0.000 0.000
0.500 0.500 0.000
```

Magnetic moment = 0.00 μB/atom
Symmetry = No. 127



Computed relative energies in units of meV/atom: one 0; two 436



one | A plane-wave DFT calculation with PBE was carried out for a relaxed structure of LaZn3Re.

POSCAR file:
```
LaZn3Re
1.0
5.536 0.000 0.000
0.000 5.536 0.000
0.000 0.000 5.536
La Zn Re
1 3 1
Direct
0.000 0.000 0.000
0.000 0.000 0.500
0.000 0.500 0.000
0.500 0.000 0.000
0.500 0.500 0.500
```

Magnetic moment = 0.63 μB/atom
Symmetry = No. 221



two | A plane-wave DFT calculation with PBE was carried out for a relaxed structure of LaZn3Re.

POSCAR file:
```
LaZn3Re
1.0
4.834 0.000 0.000
0.000 4.834 0.000
0.000 0.000 4.834
La Zn Re
1 3 1
Direct
0.000 0.000 0.000
0.000 0.500 0.500
0.500 0.000 0.500
0.500 0.500 0.000
0.500 0.500 0.500
```

Magnetic moment = 0.00 μB/atom
Symmetry = No. 221



Computed relative energies in units of meV/atom: one 1840; two 0



one | A plane-wave DFT calculation with PBE was carried out for a relaxed structure of LaZrRe2.

POSCAR file:
```
LaZrRe2
1.0
10.448 0.000 0.000
0.000 3.228 0.000
-1.677 0.000 4.968
La Zr Re
2 2 4
Direct
0.000 0.000 0.000
0.500 0.500 0.000
0.292 0.500 0.280
0.792 0.000 0.280
0.040 0.500 0.541
0.234 0.000 0.678
0.540 0.000 0.541
0.734 0.500 0.678
```

Magnetic moment = 0.00 μB/atom
Symmetry = No. 8



two | A plane-wave DFT calculation with PBE was carried out for a relaxed structure of LaZrRe2.

POSCAR file:
```
LaZrRe2
1.0
8.830 0.000 0.000
0.000 3.154 0.000
-0.389 0.000 6.205
La Zr Re
2 2 4
Direct
0.000 0.000 0.000
0.500 0.500 0.000
0.000 0.500 0.500
0.500 0.000 0.500
0.237 0.000 0.684
0.263 0.500 0.316
0.737 0.500 0.684
0.763 0.000 0.316
```

Magnetic moment = 0.00 μB/atom
Symmetry = No. 12



Computed relative energies in units of meV/atom: one 0; two 226



one | A plane-wave DFT calculation with PBE was carried out for a relaxed structure of LaZrRe2.

POSCAR file:
```
LaZrRe2
1.0
3.265 0.000 0.000
0.000 4.938 0.000
0.000 0.000 10.268
La Zr Re
2 2 4
Direct
0.000 0.000 0.000
0.500 0.500 0.500
0.000 0.500 0.776
0.500 0.000 0.276
0.000 0.000 0.545
0.000 0.500 0.237
0.500 0.000 0.737
0.500 0.500 0.045
```

Magnetic moment = 0.00 μB/atom
Symmetry = No. 44



two | A plane-wave DFT calculation with PBE was carried out for a relaxed structure of LaZrRe2.

POSCAR file:
```
LaZrRe2
1.0
3.115 0.000 0.000
0.000 4.418 0.000
-1.060 0.000 6.266
La Zr Re
1 1 2
Direct
0.000 0.000 0.000
0.500 0.000 0.500
0.160 0.500 0.685
0.840 0.500 0.315
```

Magnetic moment = 0.00 μB/atom
Symmetry = No. 10



three | A plane-wave DFT calculation with PBE was carried out for a relaxed structure of LaZrRe2.

POSCAR file:
```
LaZrRe2
1.0
3.210 0.000 0.000
-1.605 2.780 0.000
0.000 0.000 27.129
La Zr Re
3 3 6
Direct
0.000 0.000 0.000
0.333 0.667 0.667
0.667 0.333 0.333
0.000 0.000 0.500
0.333 0.667 0.167
0.667 0.333 0.833
0.000 0.000 0.244
0.000 0.000 0.756
0.333 0.667 0.423
0.333 0.667 0.910
0.667 0.333 0.090
0.667 0.333 0.577
```

Magnetic moment = 0.00 μB/atom
Symmetry = No. 166



four | A plane-wave DFT calculation with PBE was carried out for a relaxed structure of LaZrRe2.

POSCAR file:
```
LaZrRe2
1.0
3.216 0.000 0.000
0.000 4.926 0.000
0.000 0.000 10.111
La Zr Re
2 2 4
Direct
0.000 0.000 0.000
0.500 0.500 0.000
0.000 0.500 0.318
0.500 0.000 0.318
0.000 0.000 0.543
0.000 0.500 0.743
0.500 0.000 0.743
0.500 0.500 0.543
```

Magnetic moment = 0.00 μB/atom
Symmetry = No. 35



Computed relative energies in units of meV/atom: one 0; two 53; three 257; four 117



one | A plane-wave DFT calculation with PBE was carried out for a relaxed structure of LaZrRe2.

POSCAR file:
```
LaZrRe2
1.0
7.705 0.000 0.000
0.000 7.705 0.000
0.000 0.000 5.712
La Zr Re
4 4 8
Direct
0.000 0.000 0.000
0.000 0.500 0.250
0.500 0.000 0.750
0.500 0.500 0.500
0.000 0.000 0.500
0.000 0.500 0.750
0.500 0.000 0.250
0.500 0.500 0.000
0.235 0.250 0.625
0.250 0.735 0.875
0.250 0.765 0.375
0.265 0.250 0.125
0.735 0.750 0.125
0.750 0.235 0.375
0.750 0.265 0.875
0.765 0.750 0.625
```

Magnetic moment = 0.00 μB/atom
Symmetry = No. 122



two | A plane-wave DFT calculation with PBE was carried out for a relaxed structure of LaZrRe2.

POSCAR file:
```
LaZrRe2
1.0
6.836 0.000 0.000
0.000 6.836 0.000
0.000 0.000 6.836
La Zr Re
4 4 8
Direct
0.000 0.000 0.000
0.000 0.500 0.500
0.500 0.000 0.500
0.500 0.500 0.000
0.000 0.000 0.500
0.000 0.500 0.000
0.500 0.000 0.000
0.500 0.500 0.500
0.250 0.250 0.250
0.250 0.250 0.750
0.250 0.750 0.250
0.250 0.750 0.750
0.750 0.250 0.250
0.750 0.250 0.750
0.750 0.750 0.250
0.750 0.750 0.750
```

Magnetic moment = 0.00 μB/atom
Symmetry = No. 225



Computed relative energies in units of meV/atom: one 493; two 0



one | A plane-wave DFT calculation with PBE was carried out for a relaxed structure of LaZrRe2.

POSCAR file:
```
LaZrRe2
1.0
3.064 0.000 0.000
0.000 4.155 0.000
-1.102 0.000 6.890
La Zr Re
1 1 2
Direct
0.000 0.000 0.000
0.334 0.500 0.643
0.496 0.500 0.283
0.866 0.000 0.426
```

Magnetic moment = 0.00 μB/atom
Symmetry = No. 6



two | A plane-wave DFT calculation with PBE was carried out for a relaxed structure of LaZrRe2.

POSCAR file:
```
LaZrRe2
1.0
3.277 0.000 0.000
0.000 4.997 0.000
0.000 0.000 9.396
La Zr Re
2 2 4
Direct
0.000 0.000 0.000
0.500 0.500 0.500
0.000 0.000 0.500
0.500 0.500 0.000
0.000 0.500 0.249
0.000 0.500 0.751
0.500 0.000 0.251
0.500 0.000 0.749
```

Magnetic moment = 0.00 μB/atom
Symmetry = No. 71



three | A plane-wave DFT calculation with PBE was carried out for a relaxed structure of LaZrRe2.

POSCAR file:
```
LaZrRe2
1.0
6.741 0.000 0.000
0.000 6.741 0.000
0.000 0.000 6.741
La Zr Re
4 4 8
Direct
0.000 0.000 0.000
0.000 0.500 0.500
0.500 0.000 0.500
0.500 0.500 0.000
0.250 0.250 0.250
0.250 0.750 0.750
0.750 0.250 0.750
0.750 0.750 0.250
0.000 0.000 0.500
0.000 0.500 0.000
0.250 0.250 0.750
0.250 0.750 0.250
0.500 0.000 0.000
0.500 0.500 0.500
0.750 0.250 0.250
0.750 0.750 0.750
```

Magnetic moment = 0.00 μB/atom
Symmetry = No. 216



four | A plane-wave DFT calculation with PBE was carried out for a relaxed structure of LaZrRe2.

POSCAR file:
```
LaZrRe2
1.0
5.996 0.000 0.000
0.000 9.344 0.000
-1.114 0.000 2.749
La Zr Re
2 2 4
Direct
0.000 0.000 0.000
0.500 0.500 0.000
0.000 0.500 0.000
0.500 0.000 0.000
0.250 0.250 0.500
0.250 0.750 0.500
0.750 0.250 0.500
0.750 0.750 0.500
```

Magnetic moment = 0.00 μB/atom
Symmetry = No. 12



Computed relative energies in units of meV/atom: one 0; two 174; three 75; four 163



one | A plane-wave DFT calculation with PBE was carried out for a relaxed structure of LaZr3Re.

POSCAR file:
```
LaZr3Re
1.0
5.173 0.000 0.000
0.000 5.173 0.000
0.000 0.000 5.173
La Zr Re
1 3 1
Direct
0.000 0.000 0.000
0.000 0.500 0.500
0.500 0.000 0.500
0.500 0.500 0.000
0.500 0.500 0.500
```

Magnetic moment = 0.00 μB/atom
Symmetry = No. 221



two | A plane-wave DFT calculation with PBE was carried out for a relaxed structure of LaZr3Re.

POSCAR file:
```
LaZr3Re
1.0
5.031 0.000 0.000
0.000 5.031 0.000
0.000 0.000 5.031
La Zr Re
1 3 1
Direct
0.000 0.000 0.000
0.000 0.000 0.500
0.000 0.500 0.000
0.500 0.000 0.000
0.500 0.500 0.500
```

Magnetic moment = 0.30 μB/atom
Symmetry = No. 221



Computed relative energies in units of meV/atom: one 0; two 1614